VASP calculation (PBE+U) on AlFeCl2O after structural relaxation.

Properties
Uncorrected energy ... -3.80 eV per atom
SG ... P4/mmm, No. 123
Mass density ... 2.5 Mg/m³

Unit cell a=5.7106 b=3.5175 c=5.7106 alpha=90.00 beta=90.00 gamma=90.00
With the nearest neighbours (Å) after each atom.
Element x y z (fractional)
O  0.0000  0.0000  0.0000  2 Fe 1.76
Cl  0.0000  0.0000  0.5000  2 O 2.86
Cl  0.5000  0.0000  0.0000  2 O 2.86
Fe  0.0000  0.5000  0.0000  2 O 1.76
Al  0.5000  0.5000  0.5000  8 Cl 3.35, 2 Al 3.52